Below is K2Si2Bi after structural relaxation, with properties calculated at the PBE level.

```
K2Si2Bi
1.0
7.510 0.000 0.000
0.000 7.510 0.000
0.000 0.000 5.462
K Si Bi
4 4 2
direct
0.191 0.691 0.500
0.691 0.809 0.500
0.809 0.309 0.500
0.309 0.191 0.500
0.394 0.894 0.000
0.894 0.606 0.000
0.606 0.106 0.000
0.106 0.394 0.000
0.000 0.000 0.000
0.500 0.500 0.000
```

Output
**Formation energy (no corrections)**: 0.051 eV per atom
**Space-group type**: No. 127
**Magnetization**: 0.00 μB per formula unit
**Density of states at the Fermi level**: 1.6 states/eV/f.u.
**VASP energy**: -3.33 eV per atom

Below is Na2BH5 after structural relaxation, with properties calculated at the PBE level.

```
Na2BH5
1.0
5.724 1.100 -1.409
1.101 5.726 -1.402
-4.200 -4.199 4.491
Na B H
2 1 5
direct
0.088 0.581 0.194
0.585 0.094 0.199
0.011 0.011 0.104
0.035 0.343 0.364
0.078 0.078 0.675
0.723 0.724 0.833
0.342 0.029 0.359
0.916 0.917 0.827
```

Output
**Space-group type**: No. 1
**Magnetization**: 0.00 μB per formula unit
**Density of states at the Fermi level**: 0.0 states/eV/f.u.
**VASP energy**: -3.53 eV per atom

Below is Li4U3Te8Au after structural relaxation, with properties calculated at the PBE level.

```
Li4U3Te8Au
1.0
-5.369 5.898 -2.851
-3.791 0.310 7.779
8.473 1.290 -0.703
Li U Te Au
4 3 8 1
direct
0.500 0.000 0.000
0.500 0.000 0.500
0.000 0.000 0.000
0.000 0.000 0.500
0.500 0.500 0.000
0.500 0.500 0.500
0.000 0.500 0.500
0.243 0.751 0.003
0.260 0.765 0.520
0.247 0.237 0.494
0.760 0.751 0.003
0.240 0.249 0.997
0.753 0.763 0.506
0.740 0.235 0.480
0.757 0.249 0.997
0.000 0.500 0.000
```

Output
**Formation energy (no corrections)**: -0.664 eV per atom
**Space-group type**: No. 12
**Magnetization**: 7.06 μB per formula unit
**Density of states at the Fermi level**: 17.0 states/eV/f.u.
**VASP energy**: -5.03 eV per atom

Below is CsTl2CdHg after structural relaxation, with properties calculated at the PBE level.

```
CsTl2CdHg
1.0
6.001 0.000 0.000
0.000 6.001 0.000
0.000 0.000 5.757
Cs Tl Hg Cd
1 2 1 1
direct
0.500 0.500 0.500
0.000 0.500 0.000
0.500 0.000 0.000
0.000 0.000 0.000
0.000 0.000 0.500
```

Output
**ΔH_f (0 K)**: 0.10 eV/atom
**Space-group type**: No. 123
**Magnetization**: 0.00 μB per formula unit
**Density of states at the Fermi level**: 4.7 states/eV/f.u.
**VASP energy**: -1.26 eV per atom

Below is LaCrNi2Ir after structural relaxation, with properties calculated at the PBE level.

```
LaCrNi2Ir
1.0
-1.861 -3.392 -2.166
4.159 -1.284 -1.563
0.545 -2.576 3.567
Ni Ir Cr La
2 1 1 1
direct
0.000 0.000 0.500
0.500 0.000 0.000
0.000 0.500 0.000
0.000 0.000 0.000
0.500 0.500 0.500
```

Output
**ΔH_f (0 K)**: 0.21 eV/atom
**Space-group type**: No. 123
**Magnetization**: 0.00 μB per formula unit
**Density of states at the Fermi level**: 5.4 states/eV/f.u.
**VASP energy**: -6.78 eV per atom

Below is In2AgSb2 after structural relaxation, with properties calculated at the PBE level.

```
In2AgSb2
1.0
8.128 0.000 0.000
0.000 8.128 0.000
0.000 0.000 4.057
Sb Ag In
4 2 4
direct
0.149 0.649 0.500
0.649 0.851 0.500
0.851 0.351 0.500
0.351 0.149 0.500
0.000 0.000 0.000
0.500 0.500 0.000
0.349 0.849 0.000
0.849 0.651 0.000
0.651 0.151 0.000
0.151 0.349 0.000
```

Output
**Formation energy (no corrections)**: 0.223 eV per atom
**Space-group type**: No. 127
**Magnetization**: 0.00 μB per formula unit
**Density of states at the Fermi level**: 2.2 states/eV/f.u.
**VASP energy**: -3.09 eV per atom

Below is AlTcIr2 after structural relaxation, with properties calculated at the PBE level.

```
AlTcIr2
1.0
-0.044 -3.417 1.615
2.541 -0.513 -1.017
4.792 1.590 3.495
Ir Tc Al
2 1 1
direct
0.000 0.000 0.000
0.000 0.500 0.500
0.500 0.250 0.250
0.500 0.750 0.750
```

Output
**ΔH_f (0 K)**: -0.39 eV/atom
**Space-group type**: No. 10
**Magnetization**: 0.00 μB per formula unit
**Density of states at the Fermi level**: 3.3 states/eV/f.u.
**VASP energy**: -8.35 eV per atom

Below is Nd4SmAl2 after structural relaxation, with properties calculated at the PBE level.

```
Nd4SmAl2
1.0
-4.646 -1.761 2.158
-2.171 -4.669 -1.684
1.919 -6.165 5.901
Nd Al Sm
4 2 1
direct
0.848 0.848 0.456
0.152 0.152 0.544
0.588 0.588 0.235
0.412 0.412 0.765
0.720 0.720 0.839
0.280 0.280 0.161
0.000 0.000 0.000
```

Output
**ΔH_f (0 K)**: -0.17 eV/atom
**Space-group type**: No. 166
**Magnetization**: 0.00 μB per formula unit
**Density of states at the Fermi level**: 5.1 states/eV/f.u.
**VASP energy**: -4.64 eV per atom

Below is Tl2AgHg after structural relaxation, with properties calculated at the PBE level.

```
Tl2AgHg
1.0
-1.968 -1.229 2.605
-3.193 -1.241 -0.662
2.172 -10.079 -0.776
Tl Ag Hg
2 1 1
direct
0.077 0.077 0.768
0.256 0.256 0.232
0.667 0.667 0.999
0.500 0.500 0.501
```

Output
**ΔH_f (0 K)**: 0.08 eV/atom
**Space-group type**: No. 160
**Magnetization**: 0.00 μB per formula unit
**Density of states at the Fermi level**: 1.1 states/eV/f.u.
**VASP energy**: -1.89 eV per atom